Computed, not measured: a relaxed Rb3MgCr2F9 crystal at the PBE+U level of DFT.

- Total energy: -5.2394 eV/atom

Unit cell a=5.9680 b=5.9680 c=7.3079 alpha=90.00 beta=90.00 gamma=120.00
Last column: nearest neighbours and their distance in Å.
Space group P-3m1 (No. 164)
Asymmetric unit:
Rb1 0.0000 0.0000 0.0000 x1  12 F 2.98-2.99
Rb2 0.3333 0.6667 0.6654 x2  12 F 2.97-2.99
Mg1 0.0000 0.0000 0.5000 x1  6 F 2.05
Cr1 0.3333 0.6667 0.1700 x2  6 F 2.12-2.16
F1 0.0000 0.5000 0.0000 x3  2 Cr 2.12
F2 0.1618 0.3235 0.3386 x6  1 Mg 2.05, 1 Cr 2.16